Below is a relaxed structure of PuMnBrO2, with properties calculated at the PBE+U level.

Cell and atoms, written as extended XYZ:
```
10
Lattice="7.481 0.000 0.000 0.000 4.100 0.000 -3.627 0.000 6.855" Properties=species:S:1:pos:R:3 pbc="T T T"
Pu 1.413 1.025 0.384
Pu 2.441 3.075 6.471
Mn 0.823 3.075 3.034
Mn 3.031 1.025 3.822
Br -0.664 3.075 5.312
Br 4.518 1.025 1.543
O 0.495 3.075 0.823
O 1.246 1.025 2.634
O 2.608 3.075 4.221
O 3.360 1.025 6.032
```

## Properties
- N(E_F) (states/eV/cell) = 18.62
- size of the total moment (μB/atom) = 2.00
- electronic total energy (eV for the cell shown) = -87.213
- space-group type = P2_1/m, No. 11